The following is a DFT calculation (PBE with a Hubbard U) of a relaxed PmTaMnO6 crystal.

Output
DFT total energy: -8.414 eV per atom

```
data_PmTaMnO6
_chemical_formula_sum 'Pm2 Ta2 Mn2 O12'
_space_group_name_H-M_alt 'P 1'
_space_group_IT_number 1
_cell_length_a 4.867
_cell_length_b 4.867
_cell_length_c 9.612
_cell_angle_alpha 90.00
_cell_angle_beta 90.00
_cell_angle_gamma 90.00
loop_
_space_group_symop_operation_xyz
'x,y,z'
loop_
_atom_site_label
_atom_site_type_symbol
_atom_site_fract_x
_atom_site_fract_y
_atom_site_fract_z
Pm1 Pm 0.000 0.000 0.000
Pm2 Pm 0.500 0.500 0.500
Ta1 Ta 0.000 0.000 0.665
Ta2 Ta 0.500 0.500 0.165
Mn1 Mn 0.000 0.000 0.328
Mn2 Mn 0.500 0.500 0.828
O1 O 0.170 0.170 0.489
O2 O 0.209 0.209 0.185
O3 O 0.214 0.214 0.802
O4 O 0.286 0.714 0.302
O5 O 0.291 0.709 0.685
O6 O 0.330 0.670 0.989
O7 O 0.670 0.330 0.989
O8 O 0.709 0.291 0.685
O9 O 0.714 0.286 0.302
O10 O 0.786 0.786 0.802
O11 O 0.791 0.791 0.185
O12 O 0.830 0.830 0.489
```